Here is CsLiYBr5 after structural relaxation from Alexandria. Energies are from GGA-PBE.

Cell lengths 8.120, 8.120, 10.753 Å; angles 103.71, 103.71, 106.77 degrees
Positions (direct):
Cs1 0.158 0.842 0.750
Cs2 0.842 0.158 0.250
Li1 0.193 0.807 0.250
Li2 0.807 0.193 0.750
Y1 0.500 0.500 0.000
Y2 0.500 0.500 0.500
Br1 0.133 0.270 0.919
Br2 0.206 0.604 0.401
Br3 0.270 0.133 0.419
Br4 0.396 0.794 0.099
Br5 0.434 0.566 0.750
Br6 0.566 0.434 0.250
Br7 0.604 0.206 0.901
Br8 0.730 0.867 0.581
Br9 0.794 0.396 0.599
Br10 0.867 0.730 0.081

Properties
**Total energy**: -63.75 eV/cell
**Uncorrected formation energy**: -1.785 eV/atom
**ρ**: 3.35 g cm⁻³
**Space-group type**: No. 15